First-principles (GGA-PBE) data for a relaxed Be12V crystal, as listed in the Alexandria database.

Summary:
Symmetry: I4/mmm
DFT total energy (eV per atom): -4.259
Crystal system: tetragonal

Geometry as extended XYZ:
```
13
Lattice="-5.1965 1.0179 1.4992 3.1432 -4.4850 -0.5409 2.5171 2.1926 4.3754" Properties=species:S:1:pos:R:3 pbc="T T T"
Be -1.5954 -1.0521 1.7261
Be 1.9787 -0.8013 1.3404
Be -1.7428 2.0882 3.8210
Be -0.9366 1.1223 2.0536
Be 0.1748 -2.2201 1.2931
Be 1.5716 -2.2425 -0.2704
Be 2.0592 -0.2224 3.6076
Be 3.6816 -1.4910 2.4941
Be 0.2889 0.9457 4.0406
Be 0.2319 -0.6372 2.6668
Be 1.2585 1.0963 2.1877
Be -2.5983 0.5089 0.7496
V 0.0000 0.0000 0.0000
```